# 1
A relaxed K2MgCo3F12 crystal. Source: Alexandria via LeMat-Bulk, functional PBE with a Hubbard U.

Space group: No. 166
Final energy (eV per atom): -4.714

Lattice parameters (Å, degrees): 7.1514 7.1514 7.1514 61.53 61.53 61.53
Last column: magnetic moment on the atom in μB.
Atoms (fractional coordinates):
F  0.3221  0.3221  0.9262  0.05
F  0.9267  0.3277  0.9267  -0.03
F  0.3277  0.9267  0.9267  -0.03
F  0.6723  0.0733  0.0733  -0.03
F  0.9262  0.3221  0.3221  0.05
F  0.0733  0.0733  0.6723  -0.03
F  0.6779  0.6779  0.0738  0.05
F  0.6779  0.0738  0.6779  0.05
F  0.0738  0.6779  0.6779  0.05
F  0.3221  0.9262  0.3221  0.05
F  0.0733  0.6723  0.0733  -0.03
F  0.9267  0.9267  0.3277  -0.03
Co  0.0000  0.0000  0.5000  2.27
Co  0.5000  0.0000  0.0000  2.27
Co  0.0000  0.5000  0.0000  2.27
K  0.6260  0.6260  0.6260  0.00
K  0.3740  0.3740  0.3740  0.00
Mg  0.0000  0.0000  0.0000  0.00

# 2
A relaxed KMgCoF6 crystal. Source: Alexandria via LeMat-Bulk, functional PBE with a Hubbard U.

Space group: No. 74
Final energy (eV per atom): -4.757

Lattice parameters (Å, degrees): 7.1296 7.1534 7.1443 120.04 119.93 90.00
Atoms (fractional coordinates):
F  0.5647  0.9192  0.7540
F  0.5633  0.3133  0.1266
F  0.8107  0.6652  0.2460
F  0.1893  0.9192  0.7540
F  0.5647  0.3348  0.7540
F  0.8107  0.0808  0.2460
F  0.8310  0.0810  0.6620
F  0.4353  0.6652  0.2460
F  0.1690  0.9190  0.3380
F  0.4353  0.0808  0.2460
F  0.4367  0.6867  0.8734
F  0.1893  0.3348  0.7540
K  0.1105  0.3605  0.2211
K  0.8895  0.6395  0.7789
Mg  0.0000  0.0000  0.5000
Mg  0.5000  0.0000  0.5000
Co  0.5000  0.5000  0.0000
Co  0.5000  0.0000  0.0000

# 3
A relaxed K2MnCoF6 crystal. Source: Alexandria via LeMat-Bulk, functional PBE with a Hubbard U.

Space group: No. 139
Final energy (eV per atom): -5.198

Lattice parameters (Å, degrees): 5.8916 5.8919 8.4785 90.00 90.00 90.00
Last column: magnetic moment on the atom in μB.
Atoms (fractional coordinates):
F  0.0000  0.7499  0.2503  0.04
F  0.7433  0.4933  0.5000  0.05
F  0.2433  0.9934  0.0000  0.05
F  0.2433  0.5067  0.0000  0.05
F  0.2567  0.4933  0.5000  0.05
F  0.7433  0.0066  0.5000  0.05
F  0.5000  0.2501  0.7503  0.04
F  0.7567  0.5067  0.0000  0.05
F  0.7567  0.9934  0.0000  0.05
F  0.0000  0.7499  0.7497  0.04
F  0.5000  0.2501  0.2497  0.04
F  0.2567  0.0066  0.5000  0.05
Mn  0.0000  0.7500  0.5000  4.70
Mn  0.5000  0.2500  0.0000  4.70
Co  0.0000  0.7500  0.0000  2.80
Co  0.5000  0.2500  0.5000  2.80
K  0.0000  0.2500  0.7500  0.00
K  0.5000  0.7500  0.2500  0.00
K  0.0000  0.2500  0.2500  0.00
K  0.5000  0.7500  0.7500  0.00

# 4
A relaxed KMnCo2F8 crystal. Source: Alexandria via LeMat-Bulk, functional PBE with a Hubbard U.

Space group: No. 2
Final energy (eV per atom): -5.106

Lattice parameters (Å, degrees): 5.0260 5.0004 6.6732 89.73 90.12 86.52
Last column: magnetic moment on the atom in μB.
Atoms (fractional coordinates):
F  0.8045  0.2063  0.1940  0.01
F  0.1949  0.7946  0.1965  0.01
F  0.8051  0.2054  0.8035  0.01
F  0.6519  0.6743  0.5013  0.06
F  0.6868  0.6953  0.0010  0.08
F  0.1955  0.7937  0.8060  0.01
F  0.3481  0.3257  0.4987  0.06
F  0.3132  0.3047  0.9990  0.08
Mn  0.0000  0.0000  0.0000  3.91
Co  0.5000  0.5009  0.7555  2.79
Co  0.5000  0.4991  0.2445  2.79
K  0.0000  0.0000  0.5000  0.00

# 5
A relaxed KMn2CoF8 crystal. Source: Alexandria via LeMat-Bulk, functional PBE with a Hubbard U.

Space group: No. 2
Final energy (eV per atom): -5.451

Lattice parameters (Å, degrees): 5.0009 5.0506 6.8218 87.78 87.76 86.32
Last column: magnetic moment on the atom in μB.
Atoms (fractional coordinates):
Co  0.0000  0.0000  0.0000  2.75
F  0.2941  0.2990  0.9844  0.02
F  0.7874  0.2155  0.7963  0.01
F  0.6662  0.6603  0.5171  0.02
F  0.2186  0.7902  0.7962  0.01
F  0.7059  0.7010  0.0156  0.02
F  0.2126  0.7845  0.2037  0.01
F  0.3338  0.3397  0.4829  0.02
F  0.7814  0.2098  0.2038  0.01
K  0.0000  0.0000  0.5000  0.00
Mn  0.4906  0.4908  0.7575  4.37
Mn  0.5094  0.5092  0.2425  4.37

# 6
A relaxed KCoN2F crystal. Source: Alexandria via LeMat-Bulk, functional PBE with a Hubbard U.

Space group: No. 123
Final energy (eV per atom): -4.867

Lattice parameters (Å, degrees): 3.5058 3.5058 6.3473 90.00 90.00 90.00
Last column: magnetic moment on the atom in μB.
Atoms (fractional coordinates):
N  0.0000  0.5000  0.0000  -0.09
N  0.5000  0.0000  0.0000  -0.09
K  0.5000  0.5000  0.5000  0.00
Co  0.0000  0.0000  0.0000  0.62
F  0.0000  0.0000  0.5000  0.00

# 7
A relaxed KCoNF2 crystal. Source: Alexandria via LeMat-Bulk, functional PBE with a Hubbard U.

ΔE to the lowest computed polymorph (meV per atom): 1502.6
Space group: No. 123

Lattice parameters (Å, degrees): 4.7709 4.7709 4.8972 90.00 90.00 90.00
Last column: magnetic moment on the atom in μB.
Atoms (fractional coordinates):
F  0.5000  0.0000  0.0000  0.06
F  0.0000  0.5000  0.0000  0.06
K  0.0000  0.0000  0.0000  0.05
Co  0.5000  0.5000  0.5000  2.22
N  0.0000  0.0000  0.5000  1.72

# 8
A relaxed KCoNF2 crystal. Source: Alexandria via LeMat-Bulk, functional PBE with a Hubbard U.

ΔE to the lowest computed polymorph (meV per atom): 0.0
Space group: No. 123

Lattice parameters (Å, degrees): 4.3225 4.3225 3.4787 90.00 90.00 90.00
Last column: magnetic moment on the atom in μB.
Atoms (fractional coordinates):
F  0.0000  0.5000  0.0000  0.01
F  0.5000  0.0000  0.0000  0.01
Co  0.0000  0.0000  0.0000  1.50
N  0.0000  0.0000  0.5000  -0.20
K  0.5000  0.5000  0.5000  0.00

# 9
A relaxed KNaCo2F8 crystal. Source: Alexandria via LeMat-Bulk, functional PBE with a Hubbard U.

Space group: No. 147
Final energy (eV per atom): -4.350

Lattice parameters (Å, degrees): 5.8333 5.8333 6.2828 90.00 90.00 120.00
Last column: magnetic moment on the atom in μB.
Atoms (fractional coordinates):
F  0.3333  0.6667  0.6741  0.28
F  0.6166  0.6902  0.1342  0.16
F  0.6902  0.0736  0.8658  0.16
F  0.0736  0.3834  0.1342  0.16
F  0.3834  0.3098  0.8658  0.16
F  0.6667  0.3333  0.3259  0.28
F  0.9264  0.6166  0.8658  0.16
F  0.3098  0.9264  0.1342  0.16
Co  0.6667  0.3333  0.0380  3.14
Co  0.3333  0.6667  0.9620  3.14
Na  0.0000  0.0000  0.0000  0.00
K  0.0000  0.0000  0.5000  0.00

# 10
A relaxed K2NaCoF8 crystal. Source: Alexandria via LeMat-Bulk, functional PBE with a Hubbard U.

Space group: No. 2
Final energy (eV per atom): -4.074

Lattice parameters (Å, degrees): 5.3907 5.2758 7.0053 78.65 97.95 101.14
Last column: magnetic moment on the atom in μB.
Atoms (fractional coordinates):
F  0.3280  0.1131  0.0767  0.01
F  0.4272  0.1614  0.4964  0.44
F  0.6720  0.8869  0.9233  0.01
F  0.0854  0.7641  0.8763  0.01
F  0.9760  0.7634  0.2311  -0.02
F  0.9146  0.2359  0.1237  0.01
F  0.0240  0.2366  0.7689  -0.02
F  0.5728  0.8386  0.5036  0.44
Na  0.0000  0.0000  0.5000  0.00
Co  0.0000  0.0000  0.0000  0.99
K  0.5914  0.4119  0.7927  0.00
K  0.4086  0.5881  0.2073  0.00

# 11
A relaxed K3NaCo2F9 crystal. Source: Alexandria via LeMat-Bulk, functional PBE with a Hubbard U.

Space group: No. 164
Final energy (eV per atom): -4.573

Lattice parameters (Å, degrees): 5.8876 5.8876 7.1934 90.00 90.00 120.00
Last column: magnetic moment on the atom in μB.
Atoms (fractional coordinates):
F  0.5000  0.5000  0.0000  0.09
F  0.8240  0.6480  0.6878  0.09
F  0.1760  0.8240  0.3122  0.09
F  0.0000  0.5000  0.0000  0.09
F  0.6480  0.8240  0.3122  0.09
F  0.1760  0.3520  0.3122  0.09
F  0.5000  0.0000  0.0000  0.09
F  0.8240  0.1760  0.6878  0.09
F  0.3520  0.1760  0.6878  0.09
Co  0.6667  0.3333  0.8391  3.05
Co  0.3333  0.6667  0.1609  3.05
Na  0.0000  0.0000  0.5000  0.01
K  0.6667  0.3333  0.3453  0.00
K  0.0000  0.0000  0.0000  0.00
K  0.3333  0.6667  0.6547  0.00

# 12
A relaxed K3Na3CoF8 crystal. Source: Alexandria via LeMat-Bulk, functional PBE with a Hubbard U.

Space group: No. 12
Final energy (eV per atom): -4.428

Lattice parameters (Å, degrees): 6.8668 6.8744 7.2251 118.53 90.00 119.96
Last column: magnetic moment on the atom in μB.
Atoms (fractional coordinates):
F  0.7899  0.5798  0.3089  0.03
F  0.2300  0.0191  0.3075  0.03
F  0.2620  0.5240  0.2856  0.00
F  0.7891  0.0191  0.3075  0.03
F  0.7700  0.9809  0.6925  0.03
F  0.7380  0.4760  0.7144  0.00
F  0.2109  0.9809  0.6925  0.03
F  0.2101  0.4202  0.6911  0.03
K  0.5000  0.5000  0.0000  0.00
K  0.0000  0.5000  0.0000  0.00
K  0.0000  0.0000  0.0000  0.00
Co  0.0000  0.0000  0.5000  2.78
Na  0.0000  0.5000  0.5000  0.00
Na  0.5000  0.5000  0.5000  0.00
Na  0.5000  0.0000  0.5000  0.00

# 13
A relaxed KNaCoF6 crystal. Source: Alexandria via LeMat-Bulk, functional PBE with a Hubbard U.

Space group: No. 163
Final energy (eV per atom): -4.318

Lattice parameters (Å, degrees): 5.6693 5.6693 10.4988 90.00 90.00 120.00
Last column: magnetic moment on the atom in μB.
Atoms (fractional coordinates):
F  0.3396  0.9332  0.6520  0.00
F  0.5936  0.9332  0.8480  0.00
F  0.0668  0.4064  0.6520  0.00
F  0.4064  0.3396  0.3480  0.00
F  0.6604  0.0668  0.3480  0.00
F  0.9332  0.5936  0.3480  0.00
F  0.6604  0.5936  0.1520  0.00
F  0.3396  0.4064  0.8480  0.00
F  0.9332  0.3396  0.1520  0.00
F  0.5936  0.6604  0.6520  0.00
F  0.0668  0.6604  0.8480  0.00
F  0.4064  0.0668  0.1520  0.00
Co  0.6667  0.3333  0.2500  1.00
Co  0.3333  0.6667  0.7500  1.00
Na  0.6667  0.3333  0.7500  0.00
Na  0.3333  0.6667  0.2500  0.00
K  0.0000  0.0000  0.0000  0.00
K  0.0000  0.0000  0.5000  0.00

# 14
A relaxed KCo2NiF8 crystal. Source: Alexandria via LeMat-Bulk, functional PBE with a Hubbard U.

Space group: No. 10
Final energy (eV per atom): -4.530

Lattice parameters (Å, degrees): 4.9616 4.9310 6.5593 89.97 89.97 86.91
Last column: magnetic moment on the atom in μB.
Atoms (fractional coordinates):
Co  0.5000  0.5000  0.2431  3.06
Co  0.5000  0.5000  0.7569  3.06
F  0.3515  0.3261  0.5002  0.13
F  0.7884  0.2292  0.2071  0.10
F  0.3113  0.2971  0.0000  0.11
F  0.6887  0.7029  0.0000  0.11
F  0.6485  0.6739  0.4998  0.13
F  0.2116  0.7708  0.7929  0.10
F  0.7887  0.2295  0.7928  0.10
F  0.2113  0.7705  0.2072  0.10
K  0.0000  0.0000  0.5000  0.00
Ni  0.0000  0.0000  0.0000  1.86

# 15
A relaxed K3Co2NiF9 crystal. Source: Alexandria via LeMat-Bulk, functional PBE with a Hubbard U.

Space group: No. 164
Final energy (eV per atom): -4.547

Lattice parameters (Å, degrees): 5.7997 5.7997 7.0762 90.00 90.00 120.00
Last column: magnetic moment on the atom in μB.
Atoms (fractional coordinates):
F  0.3312  0.1656  0.6659  0.05
F  0.6688  0.8344  0.3341  0.05
F  0.5000  0.0000  0.0000  0.07
F  0.8344  0.6688  0.6659  0.05
F  0.0000  0.5000  0.0000  0.07
F  0.8344  0.1656  0.6659  0.05
F  0.1656  0.8344  0.3341  0.05
F  0.1656  0.3312  0.3341  0.05
F  0.5000  0.5000  0.0000  0.07
Co  0.6667  0.3333  0.8353  2.79
Co  0.3333  0.6667  0.1647  2.79
K  0.3333  0.6667  0.6635  0.00
K  0.0000  0.0000  0.0000  0.00
K  0.6667  0.3333  0.3365  0.00
Ni  0.0000  0.0000  0.5000  1.85

# 16
A relaxed K2CoNiF6 crystal. Source: Alexandria via LeMat-Bulk, functional PBE with a Hubbard U.

Space group: No. 139
Final energy (eV per atom): -4.557

Lattice parameters (Å, degrees): 5.7569 5.7515 8.2950 90.00 90.00 90.00
Last column: magnetic moment on the atom in μB.
Atoms (fractional coordinates):
F  0.2492  0.9992  0.0000  0.05
F  0.0000  0.7500  0.2564  0.04
F  0.2507  0.4990  0.5000  0.05
F  0.5000  0.2500  0.2436  0.04
F  0.7508  0.9992  0.0000  0.05
F  0.7492  0.0008  0.5000  0.05
F  0.2508  0.0008  0.5000  0.05
F  0.7493  0.4990  0.5000  0.05
F  0.0000  0.7500  0.7436  0.04
F  0.5000  0.2500  0.7564  0.04
F  0.7507  0.5010  0.0000  0.05
F  0.2493  0.5010  0.0000  0.05
Co  0.0000  0.7501  0.0000  2.80
Co  0.5000  0.2499  0.5000  2.80
K  0.0000  0.2500  0.2500  0.00
K  0.0000  0.2500  0.7500  0.00
K  0.5000  0.7500  0.7500  0.00
K  0.5000  0.7500  0.2500  0.00
Ni  0.0000  0.7499  0.5000  1.85
Ni  0.5000  0.2501  0.0000  1.85

# 17
A relaxed KNpCoF6 crystal. Source: Alexandria via LeMat-Bulk, functional PBE with a Hubbard U.

Space group: No. 74
Final energy (eV per atom): -6.206

Lattice parameters (Å, degrees): 7.7690 7.3694 7.4610 119.60 121.38 90.00
Last column: magnetic moment on the atom in μB.
Atoms (fractional coordinates):
Np  0.5000  0.0000  0.5000  3.96
Np  0.0000  0.0000  0.5000  3.96
F  0.1764  0.8389  0.7323  0.03
F  0.4441  0.6066  0.2677  0.03
F  0.8236  0.1611  0.2677  0.03
F  0.8236  0.6066  0.2677  0.03
F  0.4048  0.1548  0.8096  0.04
F  0.5952  0.8452  0.1904  0.04
F  0.5559  0.3934  0.7323  0.03
F  0.1258  0.8758  0.2515  -0.01
F  0.5559  0.8389  0.7323  0.03
F  0.1764  0.3934  0.7323  0.03
F  0.8742  0.1242  0.7485  -0.01
F  0.4441  0.1611  0.2677  0.03
Co  0.5000  0.5000  0.0000  2.77
Co  0.5000  0.0000  0.0000  2.77
K  0.1705  0.4205  0.3409  0.00
K  0.8295  0.5795  0.6591  0.00

# 18
A relaxed KCoO2F crystal. Source: Alexandria via LeMat-Bulk, functional PBE with a Hubbard U.

Space group: No. 123
Final energy (eV per atom): -4.943

Lattice parameters (Å, degrees): 3.7084 3.7084 4.5470 90.00 90.00 90.00
Last column: magnetic moment on the atom in μB.
Atoms (fractional coordinates):
O  0.5000  0.0000  0.0000  0.47
O  0.0000  0.5000  0.0000  0.47
K  0.5000  0.5000  0.5000  0.00
Co  0.0000  0.0000  0.0000  2.50
F  0.0000  0.0000  0.5000  0.07

# 19
A relaxed KCoO2F crystal. Source: Alexandria via LeMat-Bulk, functional PBE with a Hubbard U.

Space group: No. 123
Final energy (eV per atom): -3.057

Lattice parameters (Å, degrees): 4.2875 4.2875 4.5519 90.00 90.00 90.00
Last column: magnetic moment on the atom in μB.
Atoms (fractional coordinates):
F  0.0000  0.0000  0.5000  0.03
K  0.0000  0.0000  0.0000  -0.03
O  0.5000  0.0000  0.0000  -0.04
O  0.0000  0.5000  0.0000  -0.04
Co  0.5000  0.5000  0.5000  2.76

# 20
A relaxed KCoPb2F crystal. Source: Alexandria via LeMat-Bulk, functional PBE with a Hubbard U.

Space group: No. 123
Final energy (eV per atom): -3.324

Lattice parameters (Å, degrees): 5.2289 4.8478 5.2289 90.00 90.00 90.00
Last column: magnetic moment on the atom in μB.
Atoms (fractional coordinates):
F  0.0000  0.0000  0.0000  0.00
Co  0.5000  0.5000  0.5000  2.09
Pb  0.5000  0.0000  0.0000  -0.02
Pb  0.0000  0.0000  0.5000  -0.02
K  0.0000  0.5000  0.0000  0.00